1.
This record from Alexandria via LeMat-Bulk describes a relaxed AgRh2Cl crystal. The functional is GGA-PBE.

Cell and atoms, written as POSCAR:
```
AgRh2Cl
1.0
2.965 0.000 0.000
0.000 2.965 0.000
0.000 0.000 7.606
Ag Rh Cl
1 2 1
Direct
0.000 0.000 0.000 Ag
0.000 0.000 0.539 Rh
0.500 0.500 0.742 Rh
0.500 0.500 0.303 Cl
```

Computed properties:
Offset from the most stable computed form = 66 meV/atom
Theoretical density = 8.67 Mg/m³
Electronic total energy = -4.606 eV per atom
Magnetic moment = 0.083 μB/cell
Raw formation energy = 0.245 eV/atom
Space group = P4mm, No. 99

***

2.
This record from Alexandria via LeMat-Bulk describes a relaxed CrInFe2C crystal. The functional is GGA-PBE.

Cell and atoms, written as POSCAR:
```
CrInFe2C
1.0
3.915 0.000 0.000
0.000 3.915 0.000
0.000 0.000 3.958
Cr In Fe C
1 1 2 1
Direct
0.000 0.000 0.000 Cr
0.500 0.500 0.000 In
0.000 0.500 0.500 Fe
0.500 0.000 0.500 Fe
0.000 0.000 0.500 C
```

Computed properties:
Theoretical density = 7.95 Mg/m³
Electronic total energy = -7.614 eV per atom
Magnetic moment = 4.998 μB/cell
Space group = P4/mmm, No. 123

***

3.
This record from Alexandria via LeMat-Bulk describes a relaxed Pm11Tl9Ga4 crystal. The functional is GGA-PBE.

Cell and atoms, written as POSCAR:
```
Pm11Tl9Ga4
1.0
7.546 -11.395 0.000
7.546 11.395 0.000
0.000 0.000 3.850
Pm Tl Ga
11 9 4
Direct
0.000 0.000 0.000 Pm
0.066 0.412 0.000 Pm
0.166 0.834 0.000 Pm
0.298 0.298 0.000 Pm
0.369 0.631 0.000 Pm
0.412 0.066 0.000 Pm
0.588 0.934 0.000 Pm
0.631 0.369 0.000 Pm
0.702 0.702 0.000 Pm
0.834 0.166 0.000 Pm
0.934 0.588 0.000 Pm
0.062 0.213 0.500 Tl
0.154 0.629 0.500 Tl
0.213 0.062 0.500 Tl
0.371 0.846 0.500 Tl
0.500 0.500 0.500 Tl
0.629 0.154 0.500 Tl
0.787 0.938 0.500 Tl
0.846 0.371 0.500 Tl
0.938 0.787 0.500 Tl
0.249 0.448 0.500 Ga
0.448 0.249 0.500 Ga
0.552 0.751 0.500 Ga
0.751 0.552 0.500 Ga
```

Computed properties:
Theoretical density = 9.31 Mg/m³
Electronic total energy = -3.989 eV per atom
Magnetic moment = 0.000 μB/cell
Space group = Cmmm, No. 65

***

4.
This record from Alexandria via LeMat-Bulk describes a relaxed Zn6CuRh crystal. The functional is GGA-PBE.

Cell and atoms, written as POSCAR:
```
Zn6CuRh
1.0
2.189 -3.690 0.000
2.189 3.690 0.000
0.000 0.000 7.576
Zn Cu Rh
6 1 1
Direct
0.000 0.000 0.161 Zn
0.000 0.000 0.839 Zn
0.333 0.667 0.326 Zn
0.333 0.667 0.674 Zn
0.667 0.333 0.326 Zn
0.667 0.333 0.674 Zn
0.500 0.500 0.000 Cu
0.000 0.000 0.500 Rh
```

Computed properties:
Offset from the most stable computed form = 0 meV/atom
Theoretical density = 7.58 Mg/m³
Electronic total energy = -2.447 eV per atom
Magnetic moment = 0.000 μB/cell
Space group = Cmmm, No. 65

***

5.
This record from Alexandria via LeMat-Bulk describes a relaxed TbDy2Y4Er2 crystal. The functional is GGA-PBE.

Cell and atoms, written as POSCAR:
```
TbDy2Y4Er2
1.0
9.295 -1.793 0.000
9.295 1.793 0.000
-4.131 0.000 8.568
Tb Dy Y Er
1 2 4 2
Direct
0.000 0.000 0.000 Tb
0.149 0.149 0.668 Dy
0.851 0.851 0.332 Dy
0.186 0.186 0.333 Y
0.481 0.481 0.666 Y
0.519 0.519 0.334 Y
0.814 0.814 0.667 Y
0.333 0.333 0.001 Er
0.667 0.667 0.999 Er
```

Computed properties:
Theoretical density = 6.83 Mg/m³
Electronic total energy = -5.422 eV per atom
Magnetic moment = 0.000 μB/cell
Space group = C2/m, No. 12

***

6.
This record from Alexandria via LeMat-Bulk describes a relaxed CsThGaS4 crystal. The functional is GGA-PBE.

Cell and atoms, written as POSCAR:
```
CsThGaS4
1.0
6.602 0.000 0.000
0.000 6.780 0.000
-3.072 0.000 9.128
Cs Th Ga S
2 2 2 8
Direct
0.238 0.250 0.440 Cs
0.762 0.750 0.560 Cs
0.269 0.250 0.949 Th
0.731 0.750 0.051 Th
0.276 0.750 0.163 Ga
0.724 0.250 0.837 Ga
0.058 0.750 0.925 S
0.075 0.750 0.312 S
0.487 0.508 0.809 S
0.487 0.992 0.809 S
0.513 0.008 0.191 S
0.513 0.492 0.191 S
0.925 0.250 0.688 S
0.942 0.250 0.075 S
```

Computed properties:
Theoretical density = 4.58 Mg/m³
Electronic total energy = -5.413 eV per atom
Magnetic moment = 0.000 μB/cell
Raw formation energy = -1.440 eV/atom
Space group = P2_1/m, No. 11

***

7.
This record from Alexandria via LeMat-Bulk describes a relaxed HoEr2TmSc crystal. The functional is GGA-PBE.

Cell and atoms, written as POSCAR:
```
HoEr2TmSc
1.0
4.041 -5.537 0.000
4.041 5.537 0.000
0.000 0.000 7.021
Ho Er Tm Sc
2 4 2 2
Direct
0.231 0.769 0.750 Ho
0.769 0.231 0.250 Ho
0.197 0.197 0.000 Er
0.197 0.197 0.500 Er
0.803 0.803 0.000 Er
0.803 0.803 0.500 Er
0.229 0.771 0.250 Tm
0.771 0.229 0.750 Tm
0.499 0.501 0.250 Sc
0.501 0.499 0.750 Sc
```

Computed properties:
Theoretical density = 7.54 Mg/m³
Electronic total energy = -4.537 eV per atom
Magnetic moment = 0.006 μB/cell
Space group = Cmcm, No. 63

***

8.
This record from Alexandria via LeMat-Bulk describes a relaxed Sr2LiAgB crystal. The functional is GGA-PBE.

Cell and atoms, written as POSCAR:
```
Sr2LiAgB
1.0
5.751 0.000 0.000
0.000 5.751 0.000
0.000 0.000 3.970
Sr Li Ag B
2 1 1 1
Direct
0.000 0.500 0.000 Sr
0.500 0.000 0.000 Sr
0.000 0.000 0.000 Li
0.500 0.500 0.500 Ag
0.000 0.000 0.500 B
```

Computed properties:
Theoretical density = 3.80 Mg/m³
Electronic total energy = -2.456 eV per atom
Magnetic moment = 0.753 μB/cell
Space group = P4/mmm, No. 123

***

9.
This record from Alexandria via LeMat-Bulk describes a relaxed Nd2Ho3Th2 crystal. The functional is GGA-PBE.

Cell and atoms, written as POSCAR:
```
Nd2Ho3Th2
1.0
8.823 -1.728 0.000
8.823 1.728 0.000
-4.229 0.000 7.535
Nd Ho Th
2 3 2
Direct
0.063 0.063 0.410 Nd
0.937 0.937 0.590 Nd
0.284 0.284 0.701 Ho
0.500 0.500 0.000 Ho
0.716 0.716 0.299 Ho
0.346 0.346 0.146 Th
0.654 0.654 0.854 Th
```

Computed properties:
Offset from the most stable computed form = 111 meV/atom
Theoretical density = 9.01 Mg/m³
Electronic total energy = -5.300 eV per atom
Magnetic moment = 0.000 μB/cell
Space group = C2/m, No. 12

***

10.
This record from Alexandria via LeMat-Bulk describes a relaxed In5Sn3I12 crystal. The functional is GGA-PBE.

Cell and atoms, written as POSCAR:
```
In5Sn3I12
1.0
-9.724 9.724 9.724
9.724 -9.724 9.724
9.724 9.724 -9.724
In Sn I
20 12 48
Direct
0.000 0.000 0.000 In
0.000 0.000 0.500 In
0.000 0.500 0.000 In
0.000 0.500 0.500 In
0.125 0.750 0.875 In
0.125 0.875 0.250 In
0.250 0.125 0.875 In
0.250 0.625 0.375 In
0.375 0.250 0.625 In
0.375 0.625 0.750 In
0.500 0.000 0.000 In
0.500 0.000 0.500 In
0.500 0.500 0.000 In
0.500 0.500 0.500 In
0.625 0.375 0.250 In
0.625 0.750 0.375 In
0.750 0.375 0.625 In
0.750 0.875 0.125 In
0.875 0.125 0.750 In
0.875 0.250 0.125 In
0.125 0.250 0.375 Sn
0.125 0.375 0.750 Sn
0.250 0.375 0.125 Sn
0.250 0.875 0.625 Sn
0.375 0.125 0.250 Sn
0.375 0.750 0.125 Sn
0.625 0.250 0.875 Sn
0.625 0.875 0.750 Sn
0.750 0.125 0.375 Sn
0.750 0.625 0.875 Sn
0.875 0.625 0.250 Sn
0.875 0.750 0.625 Sn
0.059 0.233 0.126 I
0.059 0.327 0.933 I
0.067 0.626 0.394 I
0.067 0.941 0.673 I
0.106 0.733 0.673 I
0.106 0.874 0.433 I
0.126 0.059 0.233 I
0.126 0.567 0.894 I
0.173 0.233 0.606 I
0.173 0.441 0.567 I
0.233 0.126 0.059 I
0.233 0.606 0.173 I
0.267 0.327 0.894 I
0.267 0.441 0.374 I
0.327 0.894 0.267 I
0.327 0.933 0.059 I
0.374 0.267 0.441 I
0.374 0.606 0.933 I
0.394 0.067 0.626 I
0.394 0.827 0.767 I
0.433 0.106 0.874 I
0.433 0.827 0.559 I
0.441 0.374 0.267 I
0.441 0.567 0.173 I
0.559 0.433 0.827 I
0.559 0.626 0.733 I
0.567 0.173 0.441 I
0.567 0.894 0.126 I
0.606 0.173 0.233 I
0.606 0.933 0.374 I
0.626 0.394 0.067 I
0.626 0.733 0.559 I
0.673 0.067 0.941 I
0.673 0.106 0.733 I
0.733 0.559 0.626 I
0.733 0.673 0.106 I
0.767 0.394 0.827 I
0.767 0.874 0.941 I
0.827 0.559 0.433 I
0.827 0.767 0.394 I
0.874 0.433 0.106 I
0.874 0.941 0.767 I
0.894 0.126 0.567 I
0.894 0.267 0.327 I
0.933 0.059 0.327 I
0.933 0.374 0.606 I
0.941 0.673 0.067 I
0.941 0.767 0.874 I
```

Computed properties:
Offset from the most stable computed form = 161 meV/atom
Theoretical density = 4.43 Mg/m³
Electronic total energy = -2.504 eV per atom
Magnetic moment = 0.000 μB/cell
Raw formation energy = -0.289 eV/atom
Space group = Ia-3d, No. 230